Density functional theory data (SCAN) for a crystal of CdCo2 relaxed with PBEsol.

Output
Volume   14.56 A^3/atom
Formation enthalpy at 0 K   0.774 eV per atom
Size of the total moment   7.501 μB per cell
Density   8.76 g/cm3
Fermi-level density of states   2.102 states/eV/cell

abc: 4.8529 4.8529 4.8529
angles: 106.74 106.74 115.09
With the nearest neighbours (Å) after each atom.
Element x y z (fractional)
Cd  0.2500  0.2500  0.0000  2 Cd 2.60, 8 Co 2.62
Cd  0.7500  0.7500  0.0000  2 Cd 2.60, 8 Co 2.62
Co  0.1283  0.6283  0.7566  1 Co 2.10
Co  0.3717  0.1283  0.5000  1 Co 2.10
Co  0.6283  0.8717  0.5000  1 Co 2.10
Co  0.8717  0.3717  0.2434  1 Co 2.10